Density functional theory data (GGA-PBE) for crystalline Li2CaH4 at its relaxed geometry.

Results
distance to the lowest polymorph of the same formula: 0.000 eV/atom
VASP energy: -3.187 eV/atom
Fermi-level density of states: 0.00 states/eV/cell

a = 6.6631 Å, b = 6.6631 Å, c = 6.5154 Å
α = 90.00°, β = 90.00°, γ = 90.00°
Last column: nearest neighbours and their distance in Å.
Space group I4_1/amd (No. 141, origin choice 2)
Symmetry-distinct sites (fractional):
Li  0.0000  0.0000  0.0000 [8 per cell]  6 H 2.00-2.06
Ca  0.0000  0.2500  0.3750 [4 per cell]  8 H 2.22-2.44
H  0.0000  0.0745  0.7029 [16 per cell]  3 Li 2.00-2.06, 1 Ca 2.22